DFT (PBE) results for an optimized crystal structure of Rb2HfSbO6.

Results
Density of states at the Fermi level in states/eV per atom: 0.6015
E_form (uncorrected) in eV/f.u.: -19.97

a b c (Å): 8.2744 8.2744 8.2744
angles (deg): 90.00 90.00 90.00
Last column: nearest neighbours and their distance in Å.
Space group Fm-3m (No. 225)
Symmetry-distinct sites (fractional):
Rb 0.2500 0.2500 0.2500 x8  12 O 2.93
Hf 0.0000 0.0000 0.0000 x4  6 O 2.11
Sb 0.0000 0.0000 0.5000 x4  6 O 2.03
O 0.0000 0.0000 0.2546 x24  1 Sb 2.03, 1 Hf 2.11